DFT (GGA-PBE) results for crystalline Nd6GeOs2Br3 at its relaxed geometry.

Calculated values
**E_form (uncorrected)**: -9.89 eV per formula unit

Cell lengths 7.298, 12.656, 8.080 Å; angles 90.00, 107.65, 90.00 degrees
Space group C2/m (No. 12)
One atom of each set of equivalent atoms:
Nd 0.215 0.000 0.200
Nd 0.242 0.324 0.200
Ge 0.000 0.500 0.000
Os 0.000 0.167 0.000
Br 0.000 0.000 0.500
Br 0.000 0.336 0.500

***

DFT (GGA-PBE) results for crystalline CuRhS2 at its relaxed geometry.

Calculated values
**E_form (uncorrected)**: -0.26 eV per formula unit

Cell lengths 3.500, 7.349, 10.368 Å; angles 90.00, 90.00, 90.00 degrees
Space group Imma (No. 74)
One atom of each set of equivalent atoms:
Cu 0.000 0.250 0.155
Rh 0.000 0.250 0.620
S 0.000 0.043 0.894

***

DFT (GGA-PBE) results for crystalline CsK2SbPd at its relaxed geometry.

Calculated values
**E_form (uncorrected)**: -1.26 eV per formula unit

Cell lengths 6.276, 6.276, 5.202 Å; angles 90.00, 90.00, 90.00 degrees
Space group P4/mmm (No. 123)
One atom of each set of equivalent atoms:
Cs 0.000 0.000 0.000
K 0.000 0.500 0.500
Sb 0.500 0.500 0.000
Pd 0.500 0.500 0.500

***

DFT (GGA-PBE) results for crystalline KLi2Tl at its relaxed geometry.

Calculated values
**Energy of formation**: 24 kJ/mol of formula units
**Energy above the lowest structure with this stoichiometry**: 0.117 eV per atom

Cell lengths 7.862, 7.862, 7.862 Å; angles 90.00, 90.00, 90.00 degrees
Space group F-43m (No. 216)
One atom of each set of equivalent atoms:
K 0.000 0.000 0.000
Li 0.000 0.000 0.500
Li 0.250 0.250 0.750
Tl 0.250 0.250 0.250

***

DFT (GGA-PBE) results for crystalline CsPmSb2Au2 at its relaxed geometry.

Calculated values
**E_form (uncorrected)**: -4.35 eV per formula unit

Cell lengths 4.7183, 4.7183, 9.9551 Å; angles 90.00, 90.00, 120.00 degrees
Space group P-3m1 (No. 164)
One atom of each set of equivalent atoms:
Cs 0.0000 0.0000 0.0000
Pm 0.0000 0.0000 0.5000
Sb 0.3333 0.6667 0.7113
Au 0.3333 0.6667 0.3284

***

DFT (GGA-PBE) results for crystalline LiU2CuSe6 at its relaxed geometry.

Calculated values
**E_form (uncorrected)**: -8.53 eV per formula unit

Cell lengths 6.725, 6.728, 7.508 Å; angles 63.39, 63.41, 60.03 degrees
Space group P1 (No. 1)
One atom of each set of equivalent atoms:
Li 0.000 0.000 0.000
U 0.178 0.178 0.466
U 0.681 0.681 0.958
Cu 0.514 0.509 0.468
Se 0.105 0.758 0.718
Se 0.271 0.594 0.225
Se 0.419 0.106 0.718
Se 0.594 0.911 0.225
Se 0.758 0.419 0.718
Se 0.911 0.271 0.224

***

Result set for magnetization: 0.00, 0.00, 0.25, 0.00, 0.00, 1.99 μB/f.u., one per record in the order listed.
Result set for DOS(E_F): 15.541, 2.508, 2.986, 12.278, 1.668, 6.342 states/eV per cell, one per record in the order listed.